This record from OQMD via LeMat-Bulk describes an optimized crystal structure of ScCoO2. The functional is GGA+U.

Cell lengths 3.7695, 3.7695, 3.7695 Å; angles 60.00, 60.00, 60.00 degrees
Positions (direct):
Sc  0.0000  0.0000  0.0000
Co  0.5000  0.5000  0.5000
O  0.2500  0.2500  0.2500
O  0.7500  0.7500  0.7500

Output
For the energy above the lowest structure with this stoichiometry, the calculation gives 0 meV/atom. For the magnetization, the calculation gives 2.00 μB per formula unit. As for the density: 5.96 g cm⁻³. The calculation puts the final energy at -27.68 eV/f.u.